First-principles (PBE-GGA) data for a relaxed CsKAu3 crystal, as listed in OQMD via LeMat-Bulk. Values from VASP.

```
&SYSTEM
  ibrav = 0, nat = 5, ntyp = 3
/
ATOMIC_SPECIES
Au 196.97 Au.upf
Cs 132.91 Cs.upf
K 39.10 K.upf
ATOMIC_POSITIONS crystal
Au 0.7544 0.5021 0.2523
Cs 0.8019 0.8019 0.0000
Au 0.2498 0.5021 0.7477
K 0.1872 0.1872 0.0000
Au 0.5066 0.0066 0.5000
CELL_PARAMETERS angstrom
0.7844 -6.4787 -1.1417
0.7539 -3.2732 5.7105
-4.4950 4.2343 -2.3996
```

crystal system = orthorhombic
DFT total energy = -0.098 Ha/atom
volume = 154.9 Å³ per cell